# 1
Ba2Mg: relaxed, PBE.

```
Ba2Mg
1.0
-5.2399 7.8947 -0.3350
-1.4161 -6.3402 6.9059
3.9093 2.7353 3.3128
Ba Mg
6 3
direct
0.7466 0.7466 0.0000
0.0000 0.2534 0.0000
0.0000 0.5873 0.5000
0.5873 0.0000 0.5000
0.4127 0.4127 0.5000
0.2534 0.0000 0.0000
0.0000 0.0000 0.5000
0.3333 0.6667 0.0000
0.6667 0.3333 0.0000
```

Formation energy: 0.023 eV per atom
SG: P-62m (189)
N(E_F): 1.65 states/eV per atom

---

# 2
MnBiSe3: relaxed, PBE.

```
MnBiSe3
1.0
3.9463 0.0000 0.0000
0.0000 6.3167 -1.4105
0.0000 0.8151 10.4235
Se Mn Bi
6 2 2
direct
0.7500 0.5438 0.8592
0.7500 0.9433 0.1255
0.2500 0.2696 0.4854
0.2500 0.4562 0.1408
0.7500 0.7304 0.5146
0.2500 0.0567 0.8745
0.7500 0.2693 0.0115
0.2500 0.7307 0.9885
0.7500 0.1477 0.6541
0.2500 0.8523 0.3459
```

Energy relative to the lowest polymorph listed for this composition: 0.0 meV/atom
SG: P2_1/m (11)
E_form (uncorrected): -179 kJ/mol of formula units
N(E_F): 0.34 states/eV per atom

---

# 3
ZrIn2Sb: relaxed, PBE.

```
ZrIn2Sb
1.0
3.2271 -0.0362 0.0000
-0.5444 3.1810 0.0000
0.0000 0.0000 9.5690
Sb In Zr
1 2 1
direct
0.5000 0.5000 0.2500
0.0000 0.0000 0.5175
0.0000 0.0000 0.9825
0.5000 0.5000 0.7500
```

SG: Cmmm (65)
E_form (uncorrected): 1 kJ/mol of formula units
N(E_F): 0.78 states/eV per atom

---

# 4
Te2OsRh: relaxed, PBE.

```
Te2OsRh
1.0
-2.0547 0.4665 2.4625
2.1804 -1.2374 2.0537
3.1576 7.5597 1.2025
Te Os Rh
2 1 1
direct
0.0000 0.0000 0.9065
0.5000 0.5000 0.3378
0.0000 0.0000 0.5096
0.5000 0.5000 0.7461
```

Energy relative to the lowest polymorph listed for this composition: 274.6 meV/atom
SG: P4mm (99)
E_form (uncorrected): 97 kJ/mol of formula units
N(E_F): 0.72 states/eV per atom

---

# 5
Hf3CoSi3: relaxed, PBE.

```
Hf3CoSi3
1.0
-3.0203 -2.2677 0.6383
0.7563 -3.0471 4.2464
-6.1493 7.0937 7.5978
Si Hf Co
6 6 2
direct
0.1154 0.8445 0.9246
0.8846 0.1555 0.0754
0.0391 0.1599 0.7619
0.1323 0.2836 0.4519
0.9609 0.8401 0.2381
0.8677 0.7164 0.5481
0.6065 0.7064 0.0806
0.3935 0.2936 0.9194
0.5211 0.3362 0.6216
0.7469 0.7329 0.7733
0.2531 0.2671 0.2267
0.4789 0.6638 0.3784
0.7612 0.0667 0.4110
0.2388 0.9333 0.5890
```

SG: C2/m (12)
E_form (uncorrected): -573 kJ/mol of formula units
N(E_F): 0.54 states/eV per atom

---

# 6
TbNd6Dy12: relaxed, PBE.

```
TbNd6Dy12
1.0
-6.1304 6.1636 -1.0704
-0.8533 -4.0713 -7.7081
-4.5812 -5.5790 4.9603
Dy Nd Tb
12 6 1
direct
0.2429 0.5000 0.7571
0.3557 0.0821 0.3557
0.2429 0.7571 0.5000
0.6443 0.6443 0.9179
0.7571 0.2429 0.5000
0.7571 0.5000 0.2429
0.5000 0.7571 0.2429
0.5000 0.2429 0.7571
0.6443 0.9179 0.6443
0.9179 0.6443 0.6443
0.3557 0.3557 0.0821
0.0821 0.3557 0.3557
0.0968 0.0968 0.6566
0.3434 0.9032 0.9032
0.9032 0.9032 0.3434
0.0968 0.6566 0.0968
0.6566 0.0968 0.0968
0.9032 0.3434 0.9032
0.0000 0.0000 0.0000
```

Energy relative to the lowest polymorph listed for this composition: 90.8 meV/atom
Formation energy: 0.213 eV per atom
SG: R-3m (166)
N(E_F): 1.63 states/eV per atom

---

# 7
YReCl2: relaxed, PBE.

```
YReCl2
1.0
9.7514 0.1405 0.0799
9.1858 3.2758 0.0799
-0.5616 -0.1013 3.1591
Cl Re Y
2 1 1
direct
0.7751 0.7751 0.6525
0.9759 0.9759 0.3485
0.5686 0.5686 0.4426
0.1805 0.1805 0.0563
```

Energy relative to the lowest polymorph listed for this composition: 0.0 meV/atom
SG: Cm (8)
E_form (uncorrected): -185 kJ/mol of formula units
N(E_F): 0.72 states/eV per atom

---

# 8
ZnCo4: relaxed, PBE.

```
ZnCo4
1.0
4.2682 0.0000 0.0000
0.0000 4.2682 0.0000
0.0000 0.0000 4.2682
Zn Co
1 4
direct
0.5000 0.5000 0.5000
0.0000 0.0000 0.0000
0.5000 0.5000 0.0000
0.5000 0.0000 0.5000
0.0000 0.5000 0.5000
```

Energy relative to the lowest polymorph listed for this composition: 1383.4 meV/atom
Formation energy: 1.415 eV per atom
SG: Pm-3m (221)
N(E_F): 1.44 states/eV per atom

---

# 9
CaZrNO2: relaxed, PBE.

```
CaZrNO2
1.0
4.1685 0.0000 0.0000
0.0000 4.1685 0.0000
0.0000 0.0000 4.2345
Zr O N Ca
1 2 1 1
direct
0.0000 0.0000 0.0000
0.5000 0.0000 0.0000
0.0000 0.5000 0.0000
0.0000 0.0000 0.5000
0.5000 0.5000 0.5000
```

SG: P4/mmm (123)
E_form (uncorrected): -980 kJ/mol of formula units
N(E_F): 0.56 states/eV per atom

---

# 10
RbNaSrAg2: relaxed, PBE.

```
RbNaSrAg2
1.0
-5.6449 0.8414 -0.0459
-0.5383 -3.8611 -4.5829
-0.6703 -4.2956 3.6978
Ag Na Rb Sr
2 1 1 1
direct
0.0000 0.0000 0.5000
0.5000 0.0000 0.0000
0.0000 0.0000 0.0000
0.5000 0.5000 0.5000
0.0000 0.5000 0.0000
```

Formation energy: 0.352 eV per atom
SG: P4/mmm (123)
N(E_F): 0.69 states/eV per atom

---

# 11
HfCu: relaxed, PBE.

```
HfCu
1.0
9.9331 0.0000 0.0000
0.0000 9.9331 0.0000
0.0000 0.0000 3.0129
Hf Cu
8 8
direct
0.1233 0.3530 0.5000
0.6470 0.1233 0.5000
0.1470 0.6233 0.0000
0.3767 0.1470 0.0000
0.6233 0.8530 0.0000
0.8530 0.3767 0.0000
0.8767 0.6470 0.5000
0.3530 0.8767 0.5000
0.9263 0.1567 0.5000
0.6567 0.5737 0.0000
0.8433 0.9263 0.5000
0.3433 0.4263 0.0000
0.1567 0.0737 0.5000
0.4263 0.6567 0.0000
0.5737 0.3433 0.0000
0.0737 0.8433 0.5000
```

Formation energy: 0.239 eV per atom
SG: I4/m (87)
N(E_F): 0.91 states/eV per atom

---

# 12
Dy3TmPb5: relaxed, PBE.

```
Dy3TmPb5
1.0
6.5267 0.0000 0.0000
0.0000 9.5136 0.0000
0.0000 -4.7568 8.2390
Pb Dy Tm
10 6 2
direct
0.0000 0.3333 0.6667
0.5000 0.3333 0.6667
0.2500 0.7142 0.7142
0.0000 0.6667 0.3333
0.7500 0.2858 0.2858
0.2500 0.0000 0.2858
0.5000 0.6667 0.3333
0.7500 0.0000 0.7142
0.2500 0.2858 0.0000
0.7500 0.7142 0.0000
0.2500 0.3817 0.3817
0.2500 0.0000 0.6183
0.2500 0.6183 0.0000
0.7500 0.6183 0.6183
0.7500 0.3817 0.0000
0.7500 0.0000 0.3817
0.5000 0.0000 0.0000
0.0000 0.0000 0.0000
```

Formation energy: -0.403 eV per atom
SG: P6_3/mcm (193)
N(E_F): 0.88 states/eV per atom

---

Question: Which of these has the lowest N(E_F)?
Answer: MnBiSe3